{"formula": "Ti7RePd2", "functional": "PBE", "state": "relaxed", "cell": [[-1.2102, -3.3317, -5.5012], [4.7194, -0.7620, -4.4694], [2.7111, -5.8841, -0.9255]], "species": ["Ti", "Ti", "Ti", "Ti", "Ti", "Ti", "Ti", "Re", "Pd", "Pd"], "fractional_positions": [[0.5000, 0.5000, 0.5000], [0.2537, 0.7463, 0.7463], [0.2537, 0.7463, 0.2537], [0.7463, 0.2537, 0.7463], [0.7463, 0.7463, 0.2537], [0.2537, 0.2537, 0.7463], [0.7463, 0.2537, 0.2537], [0.0000, 0.0000, 0.0000], [0.2500, 0.2500, 0.2500], [0.7500, 0.7500, 0.7500]], "total_magnetization_mub_per_fu": 3.068, "dft_energy_ev_per_cell": -70.7, "delta_e_f_mev_per_atom": 737}

=====

{"formula": "PmZn3Pd3", "functional": "PBE", "state": "relaxed", "cell": [[-6.2423, -5.1525, 3.0562], [-2.9548, -4.8531, -4.9406], [-1.0792, -6.9837, 1.7672]], "species": ["Pm", "Pm", "Zn", "Zn", "Zn", "Zn", "Zn", "Zn", "Pd", "Pd", "Pd", "Pd", "Pd", "Pd"], "fractional_positions": [[0.0494, 0.3504, 0.2498], [0.9506, 0.6496, 0.7502], [0.4953, 0.6711, 0.8381], [0.0544, 0.8936, 0.1584], [0.4953, 0.9955, 0.8381], [0.9456, 0.1064, 0.8416], [0.5047, 0.3289, 0.1619], [0.5047, 0.0045, 0.1619], [0.4622, 0.6358, 0.2662], [0.2451, 0.7799, 0.7226], [0.2451, 0.2524, 0.7226], [0.5378, 0.3642, 0.7338], [0.7549, 0.2201, 0.2774], [0.7549, 0.7476, 0.2774]], "total_magnetization_mub_per_fu": 0.000, "polymorph_energy_mev_per_atom": 60, "dft_energy_ev_per_cell": -54.5, "delta_e_f_mev_per_atom": -442}

=====

{"formula": "NdErPu2S4", "functional": "PBE", "state": "relaxed", "cell": [[3.9578, 0.0000, 0.0000], [0.0000, 6.9275, 0.1359], [0.0000, -2.4020, 6.3810]], "species": ["Nd", "Er", "Pu", "Pu", "S", "S", "S", "S"], "fractional_positions": [[0.0000, 0.0000, 0.0000], [0.5000, 0.5000, 0.0000], [0.5000, 0.0000, 0.5000], [0.0000, 0.5000, 0.5000], [0.5000, 0.2604, 0.2542], [0.5000, 0.7396, 0.7458], [0.0000, 0.2579, 0.7524], [0.0000, 0.7421, 0.2476]], "total_magnetization_mub_per_fu": 0.151, "e_form_raw_mev_per_atom": -1887, "dft_energy_ev_per_cell": -69.6}

=====

{"formula": "In3GaRh", "functional": "PBE", "state": "relaxed", "cell": [[5.1265, 0.0000, 0.0000], [0.0000, 5.1265, 0.0000], [0.0000, 0.0000, 5.1265]], "species": ["Rh", "Ga", "In", "In", "In"], "fractional_positions": [[0.5000, 0.5000, 0.5000], [0.0000, 0.0000, 0.0000], [0.0000, 0.5000, 0.0000], [0.0000, 0.0000, 0.5000], [0.5000, 0.0000, 0.0000]], "total_magnetization_mub_per_fu": 0.000, "polymorph_energy_mev_per_atom": 822, "dft_energy_ev_per_cell": -14.6, "delta_e_f_mev_per_atom": 790}